Entry 1:
VASP calculation (PBE-GGA) on a relaxed structure of CsNaS2.

- raw formation energy (eV/atom) = -0.2749

Geometry as CIF:
```
data_CsNaS2
_symmetry_space_group_name_H-M 'F m -3 m'
_symmetry_Int_Tables_number 225
_symmetry_space_group_name_Hall '-F 4 2 3'
_cell_length_a 7.8414
_cell_length_b 7.8414
_cell_length_c 7.8414
_cell_angle_alpha 90.00
_cell_angle_beta 90.00
_cell_angle_gamma 90.00
loop_
_atom_site_label
_atom_site_type_symbol
_atom_site_fract_x
_atom_site_fract_y
_atom_site_fract_z
_atom_site_occupancy
Cs1 Cs 0.0000 0.0000 0.0000 1
Na1 Na 0.0000 0.0000 0.5000 1
S1 S 0.2500 0.2500 0.2500 1
```


Entry 2:
VASP calculation (PBE-GGA) on a relaxed structure of Ba3Sr3In2Ga.

- formation enthalpy at 0 K (eV per atom) = -0.252

Geometry as CIF:
```
data_Ba3Sr3In2Ga
_symmetry_space_group_name_H-M 'P -6 2 m'
_symmetry_Int_Tables_number 189
_symmetry_space_group_name_Hall 'P -6 -2'
_cell_length_a 9.8397
_cell_length_b 9.8397
_cell_length_c 4.5468
_cell_angle_alpha 90.00
_cell_angle_beta 90.00
_cell_angle_gamma 120.00
loop_
_atom_site_label
_atom_site_type_symbol
_atom_site_fract_x
_atom_site_fract_y
_atom_site_fract_z
_atom_site_occupancy
Ba1 Ba 0.0000 0.7469 0.0000 1
Sr1 Sr 0.0000 0.4073 0.5000 1
In1 In 0.3333 0.6667 0.0000 1
Ga1 Ga 0.0000 0.0000 0.5000 1
```


Entry 3:
VASP calculation (PBE-GGA) on a relaxed structure of Rb3H2Cl8.

- calculated total energy (eV per atom) = -2.77

Geometry as CIF:
```
data_Rb3H2Cl8
_symmetry_space_group_name_H-M 'R -3 m'
_symmetry_Int_Tables_number 166
_symmetry_space_group_name_Hall '-R 3 2"'
_cell_length_a 6.4398
_cell_length_b 6.4398
_cell_length_c 30.0683
_cell_angle_alpha 90.00
_cell_angle_beta 90.00
_cell_angle_gamma 120.00
loop_
_atom_site_label
_atom_site_type_symbol
_atom_site_fract_x
_atom_site_fract_y
_atom_site_fract_z
_atom_site_occupancy
Rb1 Rb 0.0000 0.0000 0.0000 1
Rb2 Rb 0.0000 0.0000 0.2002 1
H1 H 0.0000 0.0000 0.3697 1
Cl1 Cl 0.0000 0.0000 0.3262 1
Cl2 Cl 0.0017 0.5008 0.7670 1
```


Entry 4:
VASP calculation (PBE-GGA) on a relaxed structure of LiCdTe.

- raw formation energy (eV/atom) = -0.4220

Geometry as CIF:
```
data_LiCdTe
_symmetry_space_group_name_H-M 'F -4 3 m'
_symmetry_Int_Tables_number 216
_symmetry_space_group_name_Hall 'F -4 2 3'
_cell_length_a 6.6620
_cell_length_b 6.6620
_cell_length_c 6.6620
_cell_angle_alpha 90.00
_cell_angle_beta 90.00
_cell_angle_gamma 90.00
loop_
_atom_site_label
_atom_site_type_symbol
_atom_site_fract_x
_atom_site_fract_y
_atom_site_fract_z
_atom_site_occupancy
Li1 Li 0.0000 0.0000 0.0000 1
Cd1 Cd 0.2500 0.2500 0.7500 1
Te1 Te 0.2500 0.2500 0.2500 1
```


Number 1: magnetization 2.000 μB per formula unit. Number 2: magnetization 0.000 μB per formula unit. Number 3: magnetization 2.532 μB per formula unit. Number 4: magnetization 0.000 μB per formula unit.